The following is a PBE calculation of a geometry-optimized SrMgCrCd2 structure, from Alexandria via LeMat-Bulk.

```
data_SrMgCrCd2
_chemical_formula_sum 'Sr1 Mg1 Cr1 Cd2'
_cell_length_a 5.299
_cell_length_b 5.299
_cell_length_c 5.252
_cell_angle_alpha 90.00
_cell_angle_beta 90.00
_cell_angle_gamma 90.00
_space_group_name_H-M_alt 'P 4/m m m'
_space_group_IT_number 123
_space_group_name_Hall '-P 4 2'
loop_
_atom_site_label
_atom_site_type_symbol
_atom_site_fract_x
_atom_site_fract_y
_atom_site_fract_z
_atom_site_occupancy
Sr1 Sr 0.000 0.000 0.000 1
Mg1 Mg 0.500 0.500 0.500 1
Cr1 Cr 0.500 0.500 0.000 1
Cd1 Cd 0.000 0.500 0.500 1
```

Formation energy ... 414 meV/atom
Total moment ... 4.53 μB/f.u.
Offset from the most stable computed form ... 0 meV/atom
Calculated total energy ... -2.5317 eV per atom